First-principles (GGA+U) data for a relaxed MnAsSe2F crystal, as listed in the Alexandria database.

Cell: 5.115 5.115 3.982 Å, 90.00 90.00 90.00°
Positions (direct):
Mn1 0.000 0.000 0.000
As1 0.500 0.500 0.000
Se1 0.000 0.500 0.500
Se2 0.500 0.000 0.500
F1 0.500 0.500 0.500

## Properties
As for the magnetization: 4.8 μB/f.u. Its polymorph energy (0 for the lowest one) is 0 meV per atom. The calculated volume comes out at 104.2 Å³/cell. The space group is No. 123.